DFT (GGA-PBE) results for a relaxed BaMnBOs2 crystal.

The crystal system is tetragonal. Its raw total energy is -30.09 eV/cell. Its formation energy from the elements is 195.7 kJ per mole of atoms. Its calculated volume is 113.5 Å³ per cell.

It has space group P4/mmm (No. 123), with a = 4.444 Å, b = 4.444 Å, c = 5.746 Å, α = 90.00°, β = 90.00° and γ = 90.00°. Symmetry generates all atoms from Ba at (0.000, 0.000, 0.000), Mn at (0.000, 0.000, 0.500), B at (0.500, 0.500, 0.000) and Os at (0.000, 0.500, 0.500).